NbCI2O: relaxed, PBE.

Relative energy among the computed polymorphs, eV/f.u.: 0.00
Size of the total moment, μB per formula unit: 2.56
Total DFT energy (no corrections), eV/atom: -4.82
Fermi-level density of states, states/eV/f.u.: 4.9

Geometry as POSCAR:
```
NbCI2O
1.0
5.6274 0.0000 0.0000
0.0000 5.6274 0.0000
0.0000 0.0000 3.9029
Nb C I O
1 1 2 1
Cartesian
0.0000 0.0000 0.0000
2.8137 2.8137 1.9515
0.0000 2.8137 0.0000
2.8137 0.0000 0.0000
0.0000 0.0000 1.9515
```